## PuGaSiTc (PBE)

Data for crystalline PuGaSiTc at its relaxed geometry.

Lattice parameters (Å, degrees): 3.100 3.227 7.552 90.00 101.85 90.00
Atoms (fractional coordinates):
1 Pu 0.691 0.500 0.381
2 Ga 0.347 0.000 0.694
3 Si 0.482 0.500 0.964
4 Tc 0.050 0.000 0.100

Output
As for the total magnetization: 4.756 μB/cell. The value obtained for the uncorrected formation energy is -0.18 eV/atom. The calculation puts the electronic total energy at -8.463 eV/atom.